[1]
## CaCoOs (PBEsol)

Data for CaCoOs after structural relaxation.

Cell: 5.959 5.959 5.959 Å, 90.00 90.00 90.00°
Space group F-43m (No. 216)
Asymmetric unit:
Ca 0.000 0.000 0.000
Co 0.250 0.250 0.250
Os 0.000 0.000 0.500

Calculated values
- DOS(E_F): 1.51 states/eV per atom
- Calculated volume: 17.63 A^3/atom
- Theoretical density: 9.1 g/cm³
- Total energy: -6.45 eV/atom



[2]
## CaCo2P2 (PBEsol)

Data for CaCo2P2 after structural relaxation.

Cell: 3.798 3.798 9.417 Å, 90.00 90.00 90.00°
Space group I4/mmm (No. 139)
Asymmetric unit:
Ca 0.000 0.000 0.000
Co 0.000 0.500 0.250
P 0.000 0.000 0.370

Calculated values
- DOS(E_F): 0.57 states/eV per atom
- Calculated volume: 13.58 A^3/atom
- Theoretical density: 5.4 g/cm³
- Total energy: -6.77 eV/atom



[3]
## Ca2Co12P7 (PBEsol)

Data for Ca2Co12P7 after structural relaxation.

Cell: 8.9174 8.9174 3.5040 Å, 90.00 90.00 120.00°
Space group P-6 (No. 174)
Asymmetric unit:
Ca 0.0000 0.0000 0.0000
Ca 0.3333 0.6667 0.5000
Co 0.0434 0.7682 0.5000
Co 0.1012 0.3857 0.0000
Co 0.4303 0.2289 0.0000
Co 0.5145 0.0613 0.5000
P 0.0684 0.6251 0.0000
P 0.2625 0.0421 0.5000
P 0.6667 0.3333 0.5000

Calculated values
- DOS(E_F): 0.75 states/eV per atom
- Calculated volume: 11.49 A^3/atom
- Theoretical density: 6.9 g/cm³
- Total energy: -7.35 eV/atom



[4]
## CaCoPb2 (PBEsol)

Data for CaCoPb2 after structural relaxation.

Cell: 7.199 7.199 7.199 Å, 90.00 90.00 90.00°
Space group F-43m (No. 216)
Asymmetric unit:
Ca 0.000 0.000 0.000
Co 0.250 0.250 0.750
Pb 0.000 0.000 0.500
Pb 0.250 0.250 0.250

Calculated values
- DOS(E_F): 1.19 states/eV per atom
- Calculated volume: 23.32 A^3/atom
- Theoretical density: 9.1 g/cm³
- Total energy: -4.17 eV/atom



[5]
## CaCo2Pb (PBEsol)

Data for CaCo2Pb after structural relaxation.

Cell: 3.167 3.167 7.306 Å, 90.00 90.00 90.00°
Space group P4mm (No. 99)
Asymmetric unit:
Ca 0.000 0.000 0.000
Co 0.000 0.000 0.397
Co 0.500 0.500 0.272
Pb 0.500 0.500 0.643

Calculated values
- DOS(E_F): 1.05 states/eV per atom
- Calculated volume: 18.32 A^3/atom
- Theoretical density: 8.3 g/cm³
- Total energy: -5.19 eV/atom



[6]
## CaCo2Pb (PBEsol)

Data for CaCo2Pb after structural relaxation.

Cell: 4.363 4.363 3.421 Å, 90.00 90.00 90.00°
Space group P4/mmm (No. 123)
Asymmetric unit:
Ca 0.000 0.000 0.000
Co 0.000 0.500 0.500
Pb 0.500 0.500 0.000

Calculated values
- DOS(E_F): 0.74 states/eV per atom
- Calculated volume: 16.28 A^3/atom
- Theoretical density: 9.3 g/cm³
- Total energy: -5.05 eV/atom